(1)
The following is a PBE calculation of crystalline MnInRh2 at its relaxed geometry, from Alexandria via LeMat-Bulk.

Lattice parameters (Å, degrees): 3.352 3.352 5.688 90.00 90.00 90.00
Site moments in Bohr magnetons follow the coordinates.
Sites, in units of the cell vectors:
In: 0.000 0.000 0.487  -0.04
Rh: 0.500 0.500 0.253  0.03
Mn: 0.500 0.500 0.792  3.40
Rh: 0.000 0.000 0.968  0.22

---

(2)
The following is a PBE calculation of crystalline Mn2InRh at its relaxed geometry, from Alexandria via LeMat-Bulk.

Lattice parameters (Å, degrees): 8.825 8.825 8.825 19.38 19.38 19.38
Site moments in Bohr magnetons follow the coordinates.
Sites, in units of the cell vectors:
Rh: 0.250 0.250 0.250  0.49
Mn: 0.993 0.993 0.993  3.54
Mn: 0.507 0.507 0.507  3.54
In: 0.750 0.750 0.750  -0.13

---

(3)
The following is a PBE calculation of crystalline MnInRh2 at its relaxed geometry, from Alexandria via LeMat-Bulk.

Lattice parameters (Å, degrees): 8.775 8.775 8.775 19.28 19.28 19.28
Site moments in Bohr magnetons follow the coordinates.
Sites, in units of the cell vectors:
Rh: 0.252 0.252 0.252  -0.40
In: 0.501 0.501 0.501  -0.06
Mn: 0.743 0.743 0.743  3.37
Rh: 0.004 0.004 0.004  0.04

---

| no. | M_tot (μB per formula unit) | E_tot (eV per cell) | formation energy from the elements (eV/atom) |
| --- | --- | --- | --- |
| 1 | 3.76 | -26.84 | -0.058 |
| 2 | 7.68 | -27.55 | 0.219 |
| 3 | 3.07 | -25.97 | 0.161 |